# 1
# YGa6Ag | the Alexandria database | PBE | optimized geometry
data_YGa6Ag
_chemical_formula_sum 'Y2 Ga12 Ag2'
_space_group_name_H-M_alt 'C m m m'
_space_group_IT_number 65
_space_group_name_Hall '-C 2 2'
_cell_length_a 6.9665
_cell_length_b 10.0876
_cell_length_c 4.4300
_cell_angle_alpha 90.00
_cell_angle_beta 90.00
_cell_angle_gamma 90.00
loop_
_atom_site_label
_atom_site_fract_x
_atom_site_fract_y
_atom_site_fract_z
_atom_site_occupancy
Y1 0.0000 0.0000 0.0000 1
Ga1 0.0000 0.2191 0.5000 1
Ga2 0.2056 0.5000 0.5000 1
Ga3 0.2500 0.2500 0.0000 1
Ag1 0.0000 0.5000 0.0000 1
# E: -3.641 eV/atom
# DOS(E_F): 0.320 states/eV/atom

# 2
# YGa2Ag | the Alexandria database | PBE | optimized geometry
data_YGa2Ag
_chemical_formula_sum 'Y4 Ga8 Ag4'
_space_group_name_H-M_alt 'F m -3 m'
_space_group_IT_number 225
_space_group_name_Hall '-F 4 2 3'
_cell_length_a 6.8416
_cell_length_b 6.8416
_cell_length_c 6.8416
_cell_angle_alpha 90.00
_cell_angle_beta 90.00
_cell_angle_gamma 90.00
loop_
_atom_site_label
_atom_site_fract_x
_atom_site_fract_y
_atom_site_fract_z
_atom_site_occupancy
Y1 0.0000 0.0000 0.0000 1
Ga1 0.2500 0.2500 0.2500 1
Ag1 0.0000 0.0000 0.5000 1
# E: -4.189 eV/atom
# DOS(E_F): 0.022 states/eV/atom

# 3
# Y4GaAg2 | the Alexandria database | PBE | optimized geometry
data_Y4GaAg2
_chemical_formula_sum 'Y12 Ga3 Ag6'
_space_group_name_H-M_alt 'R -3 m'
_space_group_IT_number 166
_space_group_name_Hall '-R 3 2"'
_cell_length_a 5.0918
_cell_length_b 5.0918
_cell_length_c 24.6739
_cell_angle_alpha 90.00
_cell_angle_beta 90.00
_cell_angle_gamma 120.00
loop_
_atom_site_label
_atom_site_fract_x
_atom_site_fract_y
_atom_site_fract_z
_atom_site_occupancy
Y1 0.0000 0.0000 0.1221 1
Y2 0.0000 0.0000 0.3740 1
Ga1 0.0000 0.0000 0.5000 1
Ag1 0.0000 0.0000 0.2480 1
# E: -5.201 eV/atom
# DOS(E_F): 1.041 states/eV/atom

# 4
# YGa5Ag7 | the Alexandria database | PBE | optimized geometry
data_YGa5Ag7
_chemical_formula_sum 'Y2 Ga10 Ag14'
_space_group_name_H-M_alt 'I m m 2'
_space_group_IT_number 44
_space_group_name_Hall 'I 2 -2'
_cell_length_a 5.4200
_cell_length_b 9.3942
_cell_length_c 9.2925
_cell_angle_alpha 90.00
_cell_angle_beta 90.00
_cell_angle_gamma 90.00
loop_
_atom_site_label
_atom_site_fract_x
_atom_site_fract_y
_atom_site_fract_z
_atom_site_occupancy
Y1 0.0000 0.0000 0.0000 1
Ga1 0.0000 0.5000 0.2829 1
Ga2 0.2487 0.2531 0.7471 1
Ag1 0.0000 0.0000 0.3491 1
Ag2 0.0000 0.0000 0.6604 1
Ag3 0.0000 0.2899 0.4953 1
Ag4 0.0000 0.3465 0.0022 1
Ag5 0.0000 0.5000 0.7175 1
# E: -3.323 eV/atom
# DOS(E_F): 0.308 states/eV/atom

# 5
# YGa3Ag3 | the Alexandria database | PBE | optimized geometry
data_YGa3Ag3
_chemical_formula_sum 'Y2 Ga6 Ag6'
_space_group_name_H-M_alt 'P m -3 n'
_space_group_IT_number 223
_space_group_name_Hall '-P 4n 2 3'
_cell_length_a 7.0267
_cell_length_b 7.0267
_cell_length_c 7.0267
_cell_angle_alpha 90.00
_cell_angle_beta 90.00
_cell_angle_gamma 90.00
loop_
_atom_site_label
_atom_site_fract_x
_atom_site_fract_y
_atom_site_fract_z
_atom_site_occupancy
Y1 0.0000 0.0000 0.0000 1
Ga1 0.0000 0.2500 0.5000 1
Ag1 0.0000 0.5000 0.2500 1
# E: -3.167 eV/atom
# DOS(E_F): 0.653 states/eV/atom

# 6
# Y2Ga2Ag | the Alexandria database | PBE | optimized geometry
data_Y2Ga2Ag
_chemical_formula_sum 'Y8 Ga8 Ag4'
_space_group_name_H-M_alt 'C 1 2/m 1'
_space_group_IT_number 12
_space_group_name_Hall '-C 2y'
_cell_length_a 10.8388
_cell_length_b 4.4437
_cell_length_c 10.5444
_cell_angle_alpha 90.00
_cell_angle_beta 117.65
_cell_angle_gamma 90.00
loop_
_atom_site_label
_atom_site_fract_x
_atom_site_fract_y
_atom_site_fract_z
_atom_site_occupancy
Y1 0.0097 0.0000 0.3277 1
Y2 0.1822 0.0000 0.1036 1
Ga1 0.0284 0.5000 0.8894 1
Ga2 0.1333 0.5000 0.5682 1
Ag1 0.2234 0.5000 0.3499 1
# E: -4.931 eV/atom
# DOS(E_F): 0.537 states/eV/atom

# 7
# YGa4Ag6 | the Alexandria database | PBE | optimized geometry
data_YGa4Ag6
_chemical_formula_sum 'Y2 Ga8 Ag12'
_space_group_name_H-M_alt 'I -4 2 m'
_space_group_IT_number 121
_space_group_name_Hall 'I -4 2'
_cell_length_a 6.7311
_cell_length_b 6.7311
_cell_length_c 9.8315
_cell_angle_alpha 90.00
_cell_angle_beta 90.00
_cell_angle_gamma 90.00
loop_
_atom_site_label
_atom_site_fract_x
_atom_site_fract_y
_atom_site_fract_z
_atom_site_occupancy
Y1 0.0000 0.0000 0.0000 1
Ga1 0.1735 0.1735 0.4237 1
Ag1 0.0000 0.5000 0.0000 1
Ag2 0.1795 0.1795 0.7068 1
# E: -3.281 eV/atom
# DOS(E_F): 0.270 states/eV/atom

# 8
# YGa3Ag | the Alexandria database | PBE | optimized geometry
data_YGa3Ag
_chemical_formula_sum 'Y1 Ga3 Ag1'
_space_group_name_H-M_alt 'P m -3 m'
_space_group_IT_number 221
_space_group_name_Hall '-P 4 2 3'
_cell_length_a 5.4922
_cell_length_b 5.4922
_cell_length_c 5.4922
_cell_angle_alpha 90.00
_cell_angle_beta 90.00
_cell_angle_gamma 90.00
loop_
_atom_site_label
_atom_site_fract_x
_atom_site_fract_y
_atom_site_fract_z
_atom_site_occupancy
Y1 0.0000 0.0000 0.0000 1
Ga1 0.0000 0.0000 0.5000 1
Ag1 0.5000 0.5000 0.5000 1
# E: -2.870 eV/atom
# DOS(E_F): 0.949 states/eV/atom

- What is the DOS(E_F) in the first record?
  0.320 states/eV/atom

- Look up the DOS(E_F) of the sixth one.
  0.537 states/eV/atom

- Look up the E of the fourth one.
  -3.323 eV/atom

- Which of these has the lowest E?
  Y4GaAg2